[1]
## TlGa2Pb2 (PBE-GGA)

Data for TlGa2Pb2 after structural relaxation.

a b c (Å): 8.765 8.765 3.544
angles (deg): 90.00 90.00 90.00
Positions (direct):
Tl: 0.000 0.000 0.000
Tl: 0.500 0.500 0.000
Ga: 0.118 0.382 0.000
Ga: 0.382 0.882 0.000
Ga: 0.618 0.118 0.000
Ga: 0.882 0.618 0.000
Pb: 0.176 0.676 0.500
Pb: 0.324 0.176 0.500
Pb: 0.676 0.824 0.500
Pb: 0.824 0.324 0.500

## Properties
For the energy above the most stable polymorph in this dataset, the calculation gives 15 meV/atom. The value obtained for the density is 9.2 Mg/m³. The space group is P4/mbm, No. 127. As for the energy of formation: 0.4 eV per formula unit.

[2]
## TlGaPb2 (PBE-GGA)

Data for TlGaPb2 after structural relaxation.

a b c (Å): 5.431 5.431 5.431
angles (deg): 60.00 60.00 60.00
Positions (direct):
Tl: 0.000 0.000 0.000
Ga: 0.500 0.500 0.500
Pb: 0.250 0.250 0.250
Pb: 0.750 0.750 0.750

## Properties
For the energy above the most stable polymorph in this dataset, the calculation gives 40 meV/atom. The value obtained for the density is 10.1 Mg/m³. The space group is Fm-3m, No. 225. As for the energy of formation: 0.3 eV per formula unit.

[3]
## TlGa4Pb (PBE-GGA)

Data for TlGa4Pb after structural relaxation.

a b c (Å): 5.813 5.813 5.813
angles (deg): 60.00 60.00 60.00
Positions (direct):
Tl: 0.000 0.000 0.000
Ga: 0.375 0.375 0.375
Ga: 0.375 0.375 0.875
Ga: 0.375 0.875 0.375
Ga: 0.875 0.375 0.375
Pb: 0.750 0.750 0.750

## Properties
The value obtained for the density is 8.3 Mg/m³. The space group is F-43m, No. 216. As for the energy of formation: 0.3 eV per formula unit.

[4]
## Tl2GaPb (PBE-GGA)

Data for Tl2GaPb after structural relaxation.

a b c (Å): 5.454 5.454 5.454
angles (deg): 60.00 60.00 60.00
Positions (direct):
Tl: 0.250 0.250 0.250
Tl: 0.750 0.750 0.750
Ga: 0.000 0.000 0.000
Pb: 0.500 0.500 0.500

## Properties
For the energy above the most stable polymorph in this dataset, the calculation gives 10 meV/atom. The value obtained for the density is 9.9 Mg/m³. The space group is Fm-3m, No. 225. As for the energy of formation: 0.3 eV per formula unit.

[5]
## TlGaPb2 (PBE-GGA)

Data for TlGaPb2 after structural relaxation.

a b c (Å): 3.528 3.528 9.315
angles (deg): 90.00 90.00 90.00
Positions (direct):
Tl: 0.000 0.000 0.000
Ga: 0.000 0.000 0.500
Pb: 0.500 0.500 0.283
Pb: 0.500 0.500 0.717

## Properties
For the energy above the most stable polymorph in this dataset, the calculation gives 0 meV/atom. The value obtained for the density is 9.9 Mg/m³. The space group is P4/mmm, No. 123. As for the energy of formation: 0.2 eV per formula unit.

[6]
## TlGaPb2 (PBE-GGA)

Data for TlGaPb2 after structural relaxation.

a b c (Å): 8.123 8.123 8.123
angles (deg): 30.54 30.54 30.54
Positions (direct):
Tl: 0.000 0.000 0.000
Ga: 0.500 0.500 0.500
Pb: 0.233 0.233 0.233
Pb: 0.767 0.767 0.767

## Properties
For the energy above the most stable polymorph in this dataset, the calculation gives 89 meV/atom. The value obtained for the density is 9.3 Mg/m³. The space group is R-3m, No. 166. As for the energy of formation: 0.5 eV per formula unit.

[7]
## TlGaPb2 (PBE-GGA)

Data for TlGaPb2 after structural relaxation.

a b c (Å): 8.149 8.149 8.149
angles (deg): 130.91 130.91 71.95
Positions (direct):
Tl: 0.000 0.000 0.000
Tl: 0.750 0.250 0.500
Ga: 0.250 0.750 0.500
Ga: 0.500 0.500 0.000
Pb: 0.162 0.625 0.037
Pb: 0.375 0.412 0.537
Pb: 0.588 0.125 0.963
Pb: 0.875 0.838 0.463

## Properties
For the energy above the most stable polymorph in this dataset, the calculation gives 265 meV/atom. The value obtained for the density is 7.6 Mg/m³. The space group is I-42d, No. 122. As for the energy of formation: 1.2 eV per formula unit.

[8]
## Tl4GaPb15 (PBE-GGA)

Data for Tl4GaPb15 after structural relaxation.

a b c (Å): 5.004 5.004 24.778
angles (deg): 90.00 90.00 90.00
Positions (direct):
Tl: 0.000 0.000 0.101
Tl: 0.000 0.000 0.304
Tl: 0.000 0.000 0.696
Tl: 0.000 0.000 0.899
Ga: 0.000 0.000 0.500
Pb: 0.000 0.500 0.000
Pb: 0.000 0.500 0.203
Pb: 0.000 0.500 0.406
Pb: 0.000 0.500 0.594
Pb: 0.000 0.500 0.797
Pb: 0.500 0.000 0.000
Pb: 0.500 0.000 0.203
Pb: 0.500 0.000 0.406
Pb: 0.500 0.000 0.594
Pb: 0.500 0.000 0.797
Pb: 0.500 0.500 0.100
Pb: 0.500 0.500 0.303
Pb: 0.500 0.500 0.500
Pb: 0.500 0.500 0.697
Pb: 0.500 0.500 0.900

## Properties
The value obtained for the density is 10.7 Mg/m³. The space group is P4/mmm, No. 123. As for the energy of formation: 0.4 eV per formula unit.

In μB per cell, the total magnetic moment values for the records above are, in order, 0.000, 0.000, 0.000, 0.000, 0.000, 0.000, 0.000, 0.000.